# PBE Mg3Cd7In, optimized geometry
data_Mg3Cd7In
_chemical_formula_sum 'Mg3 Cd7 In1'
_cell_length_a 7.544
_cell_length_b 7.544
_cell_length_c 5.428
_cell_angle_alpha 110.13
_cell_angle_beta 110.13
_cell_angle_gamma 91.15
_space_group_name_H-M_alt 'P 1'
_space_group_IT_number 1
loop_
_space_group_symop_operation_xyz
'x,y,z'
loop_
_atom_site_label
_atom_site_type_symbol
_atom_site_fract_x
_atom_site_fract_y
_atom_site_fract_z
_atom_site_occupancy
Mg1 Mg 0.000 0.000 0.000 1
Mg2 Mg 0.227 0.773 0.500 1
Mg3 Mg 0.773 0.227 0.500 1
Cd1 Cd 0.063 0.591 0.828 1
Cd2 Cd 0.180 0.180 0.648 1
Cd3 Cd 0.409 0.937 0.172 1
Cd4 Cd 0.500 0.500 0.500 1
Cd5 Cd 0.591 0.063 0.828 1
Cd6 Cd 0.820 0.820 0.352 1
Cd7 Cd 0.937 0.409 0.172 1
In1 In 0.500 0.500 0.000 1
# M_tot: 0.0 μB per cell
# symmetry: No. 12
# ΔE_f: 0.04 eV/atom
# E above lowest polymorph: 0.830 eV per formula unit
# E_tot: -1.222 eV per atom